(1)
Below is Ru2PtW at its PBEsol-relaxed geometry, with properties calculated at the meta-GGA SCAN level.

extended XYZ file:
```
4
Lattice="2.7198 0.0000 0.0000 0.0000 3.8147 0.0000 0.0000 0.0000 5.5083" Properties=species:S:1:pos:R:3 pbc="T T T"
Ru 0.0000 0.0000 1.3641
Ru 0.0000 0.0000 4.1443
W 1.3599 1.9073 0.0000
Pt 1.3599 1.9073 2.7542
```

## Properties
As for the energy of formation from the pure elements: -0.031 eV/atom. For the total moment, the calculation gives 0.00 μB per formula unit. As for the offset from the most stable computed form: 200 meV per atom.

(2)
Below is La2As2I at its PBEsol-relaxed geometry, with properties calculated at the meta-GGA SCAN level.

extended XYZ file:
```
5
Lattice="4.2958 0.0000 0.0000 0.0000 4.2958 0.0000 -2.1479 -2.1479 7.8559" Properties=species:S:1:pos:R:3 pbc="T T T"
La 2.1479 2.1479 1.9296
La 0.0000 0.0000 5.9263
As 0.0000 2.1479 3.9280
As 2.1479 0.0000 3.9280
I 0.0000 0.0000 0.0000
```

## Properties
For the total moment, the calculation gives 0.54 μB per formula unit. As for the raw formation energy: -1093 meV/atom.

(3)
Below is MgBeRu2 at its PBEsol-relaxed geometry, with properties calculated at the meta-GGA SCAN level.

extended XYZ file:
```
4
Lattice="-0.8778 1.2887 -2.2729 -0.6793 -1.4603 -2.2369 -7.9340 -0.5589 1.0759" Properties=species:S:1:pos:R:3 pbc="T T T"
Ru -2.6101 -0.1987 -0.7759
Ru -6.8810 -0.5318 -2.6580
Mg 0.0000 0.0000 0.0000
Be -4.7455 -0.3653 -1.7169
```

## Properties
As for the energy of formation from the pure elements: 0.018 eV/atom. For the total moment, the calculation gives 0.00 μB per formula unit.

(4)
Below is TaTlN2 at its PBEsol-relaxed geometry, with properties calculated at the meta-GGA SCAN level.

extended XYZ file:
```
8
Lattice="5.8324 0.0000 0.0000 -2.9162 5.2479 -0.0043 0.0000 3.2450 4.8464" Properties=species:S:1:pos:R:3 pbc="T T T"
N 4.3743 2.8868 2.3508
N 1.4581 2.1710 1.2818
N -0.6433 6.7753 4.2373
N 0.6433 5.1528 1.8141
Tl 0.0000 0.0000 0.0000
Tl 2.9162 5.0577 3.6326
Ta 0.0000 3.4352 1.2094
Ta 2.9162 1.6225 2.4232
```

## Properties
For the total moment, the calculation gives 0.00 μB per formula unit. As for the raw formation energy: -660 meV/atom.

no.,final energy (eV per atom)
1,-52.415
2,-33.760
3,-19.726
4,-40.041